1.
NbReS2: optimized geometry, PBE.

a = 7.864 Å, b = 7.864 Å, c = 7.864 Å
α = 147.66°, β = 147.66°, γ = 46.39°
Positions (direct):
Nb1 0.000 0.000 0.000
Nb2 0.750 0.250 0.500
Re1 0.250 0.750 0.500
Re2 0.500 0.500 0.000
S1 0.144 0.625 0.019
S2 0.375 0.394 0.519
S3 0.606 0.125 0.981
S4 0.875 0.856 0.481

As for the symmetry: No. 122. The raw formation energy comes out at -146 meV/atom. The energy above the most stable polymorph in this dataset comes out at 106.0 meV/atom. Its density of states at the Fermi level is 5.42 states/eV per cell.

2.
CsRb2VCl8: optimized geometry, PBE.

a = 5.910 Å, b = 6.928 Å, c = 9.724 Å
α = 89.95°, β = 74.85°, γ = 89.93°
Positions (direct):
Cs1 0.000 0.000 0.000
Rb1 0.354 0.500 0.306
Rb2 0.646 0.500 0.694
V1 0.000 0.000 0.500
Cl1 0.172 0.764 0.608
Cl2 0.173 0.235 0.608
Cl3 0.244 0.500 0.997
Cl4 0.320 0.000 0.300
Cl5 0.680 0.000 0.700
Cl6 0.756 0.500 0.003
Cl7 0.827 0.765 0.392
Cl8 0.828 0.236 0.392

As for the symmetry: No. 2. The raw formation energy comes out at -1454 meV/atom. Its density of states at the Fermi level is 7.99 states/eV per cell.

3.
LiCd2Pb: optimized geometry, PBE.

a = 5.224 Å, b = 5.224 Å, c = 6.166 Å
α = 101.35°, β = 101.35°, γ = 35.07°
Positions (direct):
Li1 0.000 0.000 0.000
Cd1 0.263 0.263 0.773
Cd2 0.508 0.508 0.554
Pb1 0.752 0.752 0.250

As for the symmetry: No. 8. Its density of states at the Fermi level is 1.19 states/eV per cell. As for the formation energy: -0.09 eV per atom.

4.
PrHgN: optimized geometry, PBE.

a = 9.842 Å, b = 7.854 Å, c = 7.609 Å
α = 79.04°, β = 51.58°, γ = 49.38°
Positions (direct):
Pr1 0.026 0.717 0.283
Pr2 0.283 0.974 0.026
Pr3 0.717 0.026 0.974
Pr4 0.974 0.283 0.717
Hg1 0.251 0.468 0.532
Hg2 0.468 0.251 0.749
Hg3 0.532 0.749 0.251
Hg4 0.749 0.532 0.468
N1 0.045 0.045 0.955
N2 0.241 0.759 0.241
N3 0.759 0.241 0.759
N4 0.955 0.955 0.045

As for the symmetry: No. 69. The raw formation energy comes out at -172 meV/atom. The energy above the most stable polymorph in this dataset comes out at 319.2 meV/atom. Its density of states at the Fermi level is 6.41 states/eV per cell.

5.
CsBaSe3: optimized geometry, PBE.

a = 5.812 Å, b = 5.812 Å, c = 5.812 Å
α = 90.00°, β = 90.00°, γ = 90.00°
Positions (direct):
Cs1 0.000 0.000 0.000
Ba1 0.500 0.500 0.500
Se1 0.000 0.000 0.500
Se2 0.000 0.500 0.000
Se3 0.500 0.000 0.000

As for the symmetry: No. 221. The raw formation energy comes out at -168 meV/atom. The energy above the most stable polymorph in this dataset comes out at 410.6 meV/atom. Its density of states at the Fermi level is 5.61 states/eV per cell.

6.
Cs2CdHg: optimized geometry, PBE.

a = 13.217 Å, b = 13.217 Å, c = 13.217 Å
α = 22.75°, β = 22.75°, γ = 22.75°
Positions (direct):
Cs1 0.104 0.104 0.104
Cs2 0.896 0.896 0.896
Cd1 0.500 0.500 0.500
Hg1 0.000 0.000 0.000

As for the symmetry: No. 166. The energy above the most stable polymorph in this dataset comes out at 232.5 meV/atom. Its density of states at the Fermi level is 4.86 states/eV per cell. As for the formation energy: 0.08 eV per atom.

7.
ScPaAl2O8: optimized geometry, PBE.

a = 5.798 Å, b = 5.798 Å, c = 5.798 Å
α = 108.42°, β = 108.42°, γ = 111.60°
Positions (direct):
Sc1 0.000 0.000 0.000
Pa1 0.250 0.750 0.500
Al1 0.500 0.500 0.000
Al2 0.750 0.250 0.500
O1 0.314 0.126 0.812
O2 0.314 0.502 0.188
O3 0.375 0.067 0.308
O4 0.498 0.686 0.812
O5 0.760 0.067 0.692
O6 0.874 0.686 0.188
O7 0.933 0.240 0.308
O8 0.933 0.625 0.692

As for the symmetry: No. 119. The raw formation energy comes out at -2789 meV/atom. Its density of states at the Fermi level is 8.44 states/eV per cell.

8.
TbHo2ThSc: optimized geometry, PBE.

a = 6.133 Å, b = 5.636 Å, c = 9.342 Å
α = 90.00°, β = 109.14°, γ = 90.00°
Positions (direct):
Tb1 0.236 0.250 0.308
Tb2 0.764 0.750 0.692
Ho1 0.038 0.250 0.898
Ho2 0.422 0.250 0.697
Ho3 0.578 0.750 0.303
Ho4 0.962 0.750 0.102
Th1 0.372 0.750 0.901
Th2 0.628 0.250 0.099
Sc1 0.165 0.750 0.506
Sc2 0.835 0.250 0.494

As for the symmetry: No. 11. Its density of states at the Fermi level is 15.96 states/eV per cell. As for the formation energy: 0.04 eV per atom.

9.
BaHoInAg: optimized geometry, PBE.

a = 5.573 Å, b = 5.573 Å, c = 5.573 Å
α = 60.00°, β = 60.00°, γ = 60.00°
Positions (direct):
Ba1 0.000 0.000 0.000
Ho1 0.500 0.500 0.500
In1 0.750 0.750 0.750
Ag1 0.250 0.250 0.250

As for the symmetry: No. 216. Its density of states at the Fermi level is 4.19 states/eV per cell. As for the formation energy: -0.20 eV per atom.

10.
LiAg2Pd5: optimized geometry, PBE.

a = 5.635 Å, b = 11.293 Å, c = 3.939 Å
α = 90.00°, β = 90.00°, γ = 90.00°
Positions (direct):
Li1 0.000 0.000 0.000
Li2 0.500 0.500 0.000
Ag1 0.232 0.120 0.500
Ag2 0.268 0.620 0.500
Ag3 0.732 0.380 0.500
Ag4 0.768 0.880 0.500
Pd1 0.000 0.500 0.000
Pd2 0.019 0.751 0.000
Pd3 0.236 0.372 0.500
Pd4 0.264 0.872 0.500
Pd5 0.481 0.251 0.000
Pd6 0.500 0.000 0.000
Pd7 0.519 0.749 0.000
Pd8 0.736 0.128 0.500
Pd9 0.764 0.628 0.500
Pd10 0.981 0.249 0.000

As for the symmetry: No. 55. The energy above the most stable polymorph in this dataset comes out at 22.7 meV/atom. Its density of states at the Fermi level is 15.35 states/eV per cell. As for the formation energy: -0.12 eV per atom.

11.
PrHf2Se: optimized geometry, PBE.

a = 10.415 Å, b = 10.415 Å, c = 10.415 Å
α = 18.41°, β = 18.41°, γ = 18.41°
Positions (direct):
Pr1 0.000 0.000 0.000
Hf1 0.103 0.103 0.103
Hf2 0.897 0.897 0.897
Se1 0.500 0.500 0.500

As for the symmetry: No. 166. The raw formation energy comes out at -69 meV/atom. Its density of states at the Fermi level is 3.73 states/eV per cell.

12.
CeTlAg2Br6: optimized geometry, PBE.

a = 8.116 Å, b = 8.116 Å, c = 8.116 Å
α = 55.17°, β = 55.17°, γ = 55.17°
Positions (direct):
Ce1 0.000 0.000 0.000
Tl1 0.517 0.517 0.517
Ag1 0.325 0.325 0.325
Ag2 0.811 0.811 0.811
Br1 0.067 0.414 0.728
Br2 0.166 0.975 0.583
Br3 0.414 0.728 0.067
Br4 0.583 0.166 0.975
Br5 0.728 0.067 0.414
Br6 0.975 0.583 0.166

As for the symmetry: No. 146. The raw formation energy comes out at -1007 meV/atom. Its density of states at the Fermi level is 8.41 states/eV per cell.

13.
PmIrPb2O8: optimized geometry, PBE.

a = 5.033 Å, b = 6.875 Å, c = 5.036 Å
α = 90.00°, β = 91.09°, γ = 90.00°
Positions (direct):
Pm1 0.000 0.000 0.000
Ir1 0.000 0.500 0.000
Pb1 0.500 0.256 0.500
Pb2 0.500 0.744 0.500
O1 0.194 0.285 0.180
O2 0.194 0.715 0.180
O3 0.266 0.500 0.718
O4 0.308 0.000 0.676
O5 0.692 0.000 0.324
O6 0.734 0.500 0.282
O7 0.806 0.285 0.820
O8 0.806 0.715 0.820

As for the symmetry: No. 10. The raw formation energy comes out at -1280 meV/atom. Its density of states at the Fermi level is 5.11 states/eV per cell.

14.
Pr12Sn6Au: optimized geometry, PBE.

a = 9.058 Å, b = 9.058 Å, c = 9.058 Å
α = 99.68°, β = 99.68°, γ = 99.68°
Positions (direct):
Pr1 0.031 0.946 0.675
Pr2 0.054 0.325 0.969
Pr3 0.192 0.565 0.425
Pr4 0.325 0.969 0.054
Pr5 0.425 0.192 0.565
Pr6 0.435 0.575 0.808
Pr7 0.565 0.425 0.192
Pr8 0.575 0.808 0.435
Pr9 0.675 0.031 0.946
Pr10 0.808 0.435 0.575
Pr11 0.946 0.675 0.031
Pr12 0.969 0.054 0.325
Sn1 0.125 0.311 0.631
Sn2 0.311 0.631 0.125
Sn3 0.369 0.875 0.689
Sn4 0.631 0.125 0.311
Sn5 0.689 0.369 0.875
Sn6 0.875 0.689 0.369
Au1 0.000 0.000 0.000

As for the symmetry: No. 148. Its density of states at the Fermi level is 25.31 states/eV per cell. As for the formation energy: -0.41 eV per atom.

15.
ZrSnTe2: optimized geometry, PBE.

a = 3.648 Å, b = 3.648 Å, c = 7.820 Å
α = 90.00°, β = 90.00°, γ = 90.00°
Positions (direct):
Zr1 0.000 0.000 0.000
Sn1 0.000 0.000 0.500
Te1 0.500 0.500 0.212
Te2 0.500 0.500 0.788

As for the symmetry: No. 123. The raw formation energy comes out at -492 meV/atom. Its density of states at the Fermi level is 2.57 states/eV per cell.